1.
10
Lattice="-2.895 -5.178 4.637 0.727 -5.221 -5.377 5.567 -1.304 2.019" Properties=species:S:1:pos:R:3 comment="PBE Te2AuI2, relaxed" e_form_raw_ev_per_atom=0.052 relative_energy_mev_per_atom=123 pbc="T T T"
Te 0.010 -4.306 -2.809
Te -1.311 -7.803 -1.425
Te -0.857 -2.596 0.685
Te -2.178 -6.093 2.069
I 2.761 -5.111 -1.810
I 1.419 -8.455 -0.269
I 0.637 -6.592 3.090
I 1.980 -3.249 1.548
Au 0.000 0.000 0.000
Au -1.084 -5.200 -0.370

2.
12
Lattice="7.938 -0.021 0.382 1.001 7.202 3.081 0.046 -0.285 10.771" Properties=species:S:1:pos:R:3 comment="PBE TeAuI4, relaxed" e_form_raw_ev_per_atom=-0.006 pbc="T T T"
I 3.714 1.930 5.245
I 5.271 4.966 8.989
I 1.402 5.829 6.773
I 7.590 2.609 3.045
I 5.687 7.039 4.817
I 1.395 4.287 11.189
I 3.298 -0.144 9.418
I 7.584 1.067 7.461
Te 2.956 6.606 9.628
Te 6.029 0.290 4.607
Au 2.352 2.120 10.188
Au 6.633 4.775 4.047

3.
12
Lattice="4.043 0.000 0.000 2.022 10.088 0.519 2.022 2.761 11.409" Properties=species:S:1:pos:R:3 comment="PBE TeAu2I3, relaxed" e_form_raw_ev_per_atom=0.027 pbc="T T T"
I 6.065 10.565 3.420
I 4.043 4.921 11.321
I 2.022 2.284 8.507
I 4.043 7.927 0.606
I 6.065 9.741 7.585
I 2.022 3.107 4.343
Te 4.043 6.870 4.086
Te 4.043 5.978 7.842
Au 2.022 7.741 2.490
Au 6.065 5.108 9.438
Au 4.043 4.409 5.722
Au 4.043 8.440 6.206

4.
18
Lattice="6.737 0.643 0.623 2.955 9.922 1.019 2.955 1.340 9.884" Properties=species:S:1:pos:R:3 comment="PBE Te6Au2I, relaxed" e_form_raw_ev_per_atom=0.044 pbc="T T T"
Te 0.955 1.582 1.653
Te 9.247 7.341 10.726
Te 8.324 9.880 9.687
Te 6.733 4.544 5.664
Te 6.768 1.269 4.847
Te 11.692 10.323 9.872
Te 3.400 4.564 0.800
Te 5.879 10.637 6.678
Te 5.914 7.361 5.862
Te 4.323 2.025 1.839
Te 9.282 6.419 7.478
Te 3.365 5.486 4.047
I 8.008 8.784 3.160
I 4.639 3.122 8.365
Au 7.849 8.752 7.215
Au 8.166 4.732 3.323
Au 4.798 3.153 4.310
Au 4.480 7.174 8.202

5.
4
Lattice="-3.563 1.713 1.494 -1.747 -1.508 3.541 2.401 5.087 5.874" Properties=species:S:1:pos:R:3 comment="PBE Te2AuI, relaxed" e_form_raw_ev_per_atom=-0.036 pbc="T T T"
Te -1.906 4.300 8.459
Te -1.003 0.991 2.450
I -1.455 2.646 5.454
Au 0.000 0.000 0.000

6.
26
Lattice="8.862 0.000 3.729 3.447 11.151 4.202 0.006 1.411 12.380" Properties=species:S:1:pos:R:3 comment="PBE TeAu3I9, relaxed" e_form_raw_ev_per_atom=-0.016 pbc="T T T"
I 6.243 2.078 14.883
I 8.565 6.041 16.307
I 1.679 2.054 8.292
I 10.659 10.911 12.375
I 5.779 2.925 6.466
I 3.480 6.924 4.237
I 10.507 6.773 12.370
I 10.787 9.205 16.138
I 3.900 5.460 13.361
I 6.234 10.206 5.666
I 4.438 6.948 9.311
I 7.018 9.495 14.057
I 8.669 0.493 4.031
I 7.165 10.330 9.922
I 8.323 7.097 7.303
I 7.593 5.336 11.051
I 1.040 3.215 3.976
I 4.962 2.227 10.702
Au 6.553 3.649 12.813
Au 1.630 1.183 2.438
Au 7.706 7.463 12.559
Au 4.392 4.808 5.393
Au 5.702 8.518 7.641
Au 3.662 11.089 12.650
Te 7.993 11.853 12.321
Te 10.461 5.572 5.795

7.
8
Lattice="-7.588 -3.253 -2.544 4.004 -4.489 -6.201 -1.421 -6.298 -2.376" Properties=species:S:1:pos:R:3 comment="PBE Te2AuI, relaxed" e_form_raw_ev_per_atom=0.160 pbc="T T T"
Au 0.000 0.000 0.000
Au -5.400 -6.711 -4.646
I 0.395 -7.329 -6.474
I -1.792 -3.871 -4.373
Te 1.697 -4.573 -4.620
Te -3.939 -11.793 -9.841
Te -2.673 -7.332 -4.653
Te -5.096 -4.383 -3.127

8.
5
Lattice="-2.930 4.617 0.434 -3.988 -2.771 2.552 2.367 1.047 4.837" Properties=species:S:1:pos:R:3 comment="PBE Te3AuI, relaxed" e_form_raw_ev_per_atom=0.477 relative_energy_mev_per_atom=497 pbc="T T T"
I -2.276 1.447 3.911
Te -1.465 2.309 0.217
Te -1.994 -1.386 1.276
Te 1.183 0.524 2.418
Au 0.000 0.000 0.000

9.
80
Lattice="-5.322 0.421 13.434 -3.356 -12.660 -6.118 14.374 1.468 0.463" Properties=species:S:1:pos:R:3 comment="PBE Te5Au12I3, relaxed" e_form_raw_ev_per_atom=0.145 pbc="T T T"
I 9.149 -6.523 -0.060
I 11.073 -1.828 0.555
I -5.377 -8.943 7.224
I 1.225 -2.351 7.040
I 3.640 -0.927 2.767
I -3.453 -4.248 7.839
I -0.500 -7.388 1.330
I 2.056 -9.844 5.012
I 6.196 -3.383 6.449
I -1.483 -0.847 11.106
I 7.179 -9.924 -3.327
I 4.471 -8.420 0.739
Au -2.240 -2.428 5.902
Au -2.473 -4.321 10.590
Au 1.615 -2.916 3.457
Au -3.932 -8.380 2.068
Au 3.815 -8.818 7.106
Au 3.631 -10.958 1.915
Au 12.675 0.761 2.565
Au 5.568 -5.827 -0.044
Au -0.041 -9.146 7.915
Au 1.881 -1.953 0.673
Au -6.979 -11.532 5.214
Au 8.954 -0.463 2.034
Au -1.828 -5.243 2.803
Au 7.580 0.128 12.305
Au 1.074 -9.186 -0.351
Au 5.811 -10.882 -0.083
Au 8.987 -3.415 1.845
Au 0.904 -2.476 10.673
Au -0.115 0.111 7.862
Au 7.936 -8.342 1.877
Au 5.712 -0.217 4.702
Au 8.169 -6.450 -2.811
Au 4.081 -7.855 4.322
Au 9.322 -9.934 -1.341
Au 0.128 -4.944 7.823
Au 3.699 0.509 11.659
Au 7.524 -5.528 4.976
Au -0.016 -10.554 3.078
Au 5.287 -4.031 3.749
Au 2.875 -6.010 1.167
Au 1.997 -11.280 -3.880
Au -1.884 -10.899 -4.526
Au 6.622 -6.164 8.772
Au -3.258 -10.308 5.746
Au 4.792 -8.295 -2.893
Au 2.065 0.188 5.864
Au -3.626 -0.837 9.121
Au 9.628 -2.390 5.711
Au -0.926 -4.607 -0.993
Au 5.737 -1.625 -0.136
Au -4.354 -6.385 9.616
Au -1.654 -8.382 -1.163
Au 10.050 -4.386 -1.837
Au 0.409 -6.740 4.030
Au -3.291 -7.356 5.934
Au 2.821 -4.761 6.612
Au 4.622 -1.585 8.130
Au 7.350 -2.389 8.942
Te 8.166 0.018 9.716
Te 6.395 -3.725 1.354
Te 5.509 -5.596 -2.827
Te -4.339 -6.120 3.658
Te -0.699 -7.046 6.426
Te 6.734 -7.947 4.213
Te 7.187 0.734 0.232
Te 2.848 -5.385 3.890
Te 3.488 -1.879 10.515
Te -2.470 -10.789 -1.937
Te 8.365 -0.323 4.620
Te 4.026 -6.443 8.278
Te 2.208 -8.892 -2.735
Te 1.670 -4.328 -0.499
Te 4.526 0.945 6.949
Te -2.661 0.210 6.717
Te -1.678 -6.330 -3.059
Te 0.000 0.000 0.000
Te -2.669 -10.448 3.159
Te -1.038 -2.824 3.566

10.
10
Lattice="8.572 0.000 0.000 0.000 8.572 0.000 0.000 0.000 3.725" Properties=species:S:1:pos:R:3 comment="PBE Te2Au2I, relaxed" e_form_raw_ev_per_atom=0.243 relative_energy_mev_per_atom=168 pbc="T T T"
Te 6.792 6.066 0.000
Te 1.780 2.506 0.000
Te 6.066 1.780 0.000
Te 2.506 6.792 0.000
I 0.000 0.000 0.000
I 4.286 4.286 0.000
Au 7.605 3.319 1.862
Au 0.967 5.253 1.862
Au 3.319 0.967 1.862
Au 5.253 7.605 1.862

11.
8
Lattice="-1.286 3.050 -2.487 -0.113 -3.077 -3.716 -12.332 -2.923 2.795" Properties=species:S:1:pos:R:3 comment="PBE Te2AuI, relaxed" e_form_raw_ev_per_atom=-0.092 pbc="T T T"
Te -1.722 -1.181 -4.004
Te -5.911 -2.174 -3.055
Te -12.009 -1.769 0.597
Te -7.820 -0.776 -0.353
I -9.332 -4.454 -0.635
I -3.113 -1.546 -0.286
Au -0.056 -1.538 -1.858
Au -6.223 -3.000 -0.461

12.
20
Lattice="5.605 0.000 0.000 0.000 8.539 0.000 0.000 0.000 12.767" Properties=species:S:1:pos:R:3 comment="PBE Te5Au4I, relaxed" e_form_raw_ev_per_atom=-0.001 pbc="T T T"
Te 1.616 2.092 2.387
Te 1.616 2.092 10.380
Te 4.637 4.270 0.000
Te 1.616 6.447 2.387
Te 3.989 2.178 3.997
Te 3.989 2.178 8.771
Te 0.968 0.000 6.384
Te 1.616 6.447 10.380
Te 3.989 6.362 8.771
Te 3.989 6.362 3.997
I 0.863 4.270 6.384
I 4.742 0.000 0.000
Au 0.090 0.000 3.527
Au 0.090 0.000 9.241
Au 2.712 2.047 6.384
Au 5.515 4.270 9.911
Au 2.893 6.316 0.000
Au 2.712 6.492 6.384
Au 5.515 4.270 2.857
Au 2.893 2.223 0.000

13.
19
Lattice="-8.765 9.584 -3.886 -10.456 -1.492 -8.499 -13.178 0.722 3.099" Properties=species:S:1:pos:R:3 comment="PBE Te6AuI12, relaxed" e_form_raw_ev_per_atom=0.132 pbc="T T T"
I -25.541 7.053 -4.673
I -23.989 8.771 -8.458
I -10.445 8.065 -5.453
I -8.410 0.043 -0.829
I -12.536 -1.001 -6.762
I -13.870 2.961 1.652
I -6.857 1.761 -4.614
I -21.954 0.749 -3.833
I -7.201 4.309 -0.997
I -19.863 9.815 -2.525
I -25.198 4.505 -8.289
I -18.529 5.853 -10.939
Te -16.674 1.587 -4.799
Te -16.073 3.100 -7.188
Te -15.725 7.226 -4.488
Te -14.955 5.745 -6.848
Te -17.443 3.069 -2.438
Te -16.325 5.713 -2.098
Au 0.000 0.000 0.000

14.
4
Lattice="-1.940 2.413 -2.760 -4.122 0.432 0.159 -1.278 6.457 3.427" Properties=species:S:1:pos:R:3 comment="PBE TeAu2I, relaxed" e_form_raw_ev_per_atom=0.057 relative_energy_mev_per_atom=43 pbc="T T T"
I -3.670 4.651 0.413
Au -1.853 2.191 0.101
Au -5.487 7.111 0.724
Te 0.000 0.000 0.000

15.
10
Lattice="7.585 0.000 -3.086 -1.124 5.318 -2.764 -0.593 1.268 9.407" Properties=species:S:1:pos:R:3 comment="PBE Te2AuI2, relaxed" e_form_raw_ev_per_atom=-0.070 relative_energy_mev_per_atom=0 pbc="T T T"
Te 0.028 3.536 0.068
Te 3.820 3.538 -1.475
Te 2.047 3.048 5.033
Te 5.840 3.049 3.490
Au 1.334 2.659 -2.153
Au 5.127 2.659 -3.696
I 5.167 5.543 1.835
I 4.493 1.044 0.180
I 1.374 5.541 3.378
I 0.701 1.043 1.723

16.
4
Lattice="0.000 3.674 3.674 3.674 0.000 3.674 3.674 3.674 0.000" Properties=species:S:1:pos:R:3 comment="PBE TeAu2I, relaxed" e_form_raw_ev_per_atom=0.582 relative_energy_mev_per_atom=569 pbc="T T T"
I 3.674 3.674 3.674
Au 1.837 1.837 1.837
Au 5.511 5.511 5.511
Te 0.000 0.000 0.000

17.
5
Lattice="-4.256 1.388 3.038 0.952 -4.213 3.258 3.244 3.138 3.110" Properties=species:S:1:pos:R:3 comment="PBE TiTeAuI2, relaxed" e_form_raw_ev_per_atom=0.124 relative_energy_mev_per_atom=0 pbc="T T T"
Au -0.030 0.157 4.703
I 0.476 -2.106 1.629
I -2.128 0.694 1.519
Te 1.622 1.569 1.555
Ti 0.000 0.000 0.000

18.
5
Lattice="5.499 0.000 0.000 0.000 5.499 0.000 0.000 0.000 5.628" Properties=species:S:1:pos:R:3 comment="PBE TiTeAuI2, relaxed" e_form_raw_ev_per_atom=0.688 relative_energy_mev_per_atom=563 pbc="T T T"
I 2.750 0.000 0.000
I 0.000 2.750 0.000
Ti 2.750 2.750 2.814
Te 0.000 0.000 2.814
Au 0.000 0.000 0.000

19.
5
Lattice="5.730 0.000 0.000 0.000 5.730 0.000 0.000 0.000 5.562" Properties=species:S:1:pos:R:3 comment="PBE TlTeAuI2, relaxed" e_form_raw_ev_per_atom=-0.034 relative_energy_mev_per_atom=0 pbc="T T T"
Tl 2.865 2.865 2.781
I 2.865 0.000 0.000
I 0.000 2.865 0.000
Au 0.000 0.000 0.000
Te 0.000 0.000 2.781